A plane-wave DFT calculation with PBE was carried out for K2Ge2Au3 after structural relaxation.

abc: 6.8409 6.8409 16.3135
angles: 90.00 90.00 120.00
Space group R-3m (No. 166, hexagonal axes)
Unique sites:
K 0.0000 0.0000 0.0000
K 0.0000 0.0000 0.5000
Ge 0.0000 0.0000 0.2368
Au 0.0000 0.5000 0.0000

Output
Energy of formation from the pure elements: -0.090 eV per atom
E_tot: -3.127 eV/atom
Crystal system: trigonal
Density of states at the Fermi level: 18.14 states/eV/cell